(1)
A relaxed SiPS2Br crystal, computed with GGA-PBE.

Calculated values
* DOS at the Fermi energy: 0.438 states/eV/atom
* calculated volume: 113 Å³/f.u.
* uncorrected formation energy: 1.4113 eV per atom

a b c (Å): 4.795 4.795 4.917
angles (deg): 90.00 90.00 90.00
Space group P4/mmm (No. 123)
Asymmetric unit:
Si1 0.000 0.000 0.000 x1
P1 0.500 0.500 0.000 x1
S1 0.000 0.500 0.500 x2
Br1 0.500 0.500 0.500 x1

---

(2)
A relaxed ZrMnAu6 crystal, computed with GGA-PBE.

Calculated values
* DOS at the Fermi energy: 0.467 states/eV/atom
* calculated volume: 145 Å³/f.u.
* energy of formation: -2.02 eV/f.u.

a b c (Å): 9.080 4.267 8.464
angles (deg): 90.00 118.00 90.00
Space group C2/m (No. 12)
Asymmetric unit:
Zr1 0.000 0.000 0.000 x2
Mn1 0.000 0.000 0.500 x2
Au1 0.002 0.500 0.751 x4
Au2 0.247 0.000 0.868 x4
Au3 0.249 0.500 0.620 x4

---

(3)
A relaxed LuBRh crystal, computed with GGA-PBE.

Calculated values
* DOS at the Fermi energy: 0.630 states/eV/atom
* calculated volume: 43 Å³/f.u.
* energy of formation: -0.99 eV/f.u.

a b c (Å): 2.984 2.984 9.692
angles (deg): 90.00 90.00 90.00
Space group I4mm (No. 107)
Asymmetric unit:
Lu1 0.000 0.000 0.000 x2
B1 0.000 0.000 0.690 x2
Rh1 0.000 0.000 0.282 x2

---

(4)
A relaxed KOs crystal, computed with GGA-PBE.

Calculated values
* DOS at the Fermi energy: 1.620 states/eV/atom
* calculated volume: 44 Å³/f.u.
* energy of formation: 2.45 eV/f.u.

a b c (Å): 2.9206 2.9206 11.9649
angles (deg): 90.00 90.00 120.00
Space group P-3m1 (No. 164)
Asymmetric unit:
K1 0.3333 0.6667 0.1717 x2
Os1 0.3333 0.6667 0.5829 x2

---

(5)
A relaxed Y2Cd3Au2 crystal, computed with GGA-PBE.

Calculated values
* DOS at the Fermi energy: 0.659 states/eV/atom
* calculated volume: 162 Å³/f.u.
* energy of formation: -3.83 eV/f.u.

a b c (Å): 10.002 4.620 7.379
angles (deg): 90.00 108.69 90.00
Space group C2/m (No. 12)
Asymmetric unit:
Y1 0.136 0.000 0.283 x4
Cd1 0.000 0.500 0.500 x2
Cd2 0.120 0.500 0.933 x4
Au1 0.168 0.000 0.701 x4

---

(6)
A relaxed SbIOF2 crystal, computed with GGA-PBE.

Calculated values
* DOS at the Fermi energy: 1.086 states/eV/atom
* calculated volume: 102 Å³/f.u.
* uncorrected formation energy: -0.1598 eV per atom

a b c (Å): 5.066 5.066 3.977
angles (deg): 90.00 90.00 90.00
Space group P4/mmm (No. 123)
Asymmetric unit:
Sb1 0.000 0.000 0.000 x1
I1 0.500 0.500 0.500 x1
O1 0.500 0.500 0.000 x1
F1 0.000 0.500 0.500 x2

---

(7)
A relaxed CuH2Rh2 crystal, computed with GGA-PBE.

Calculated values
* DOS at the Fermi energy: 1.004 states/eV/atom
* calculated volume: 46 Å³/f.u.
* energy: -5.056 eV/atom

a b c (Å): 4.877 8.332 4.899
angles (deg): 90.00 111.37 90.00
Space group C2/c (No. 15)
Asymmetric unit:
Cu1 0.000 0.095 0.250 x4
H1 0.223 0.410 0.003 x8
Rh1 0.000 0.241 0.750 x4
Rh2 0.000 0.419 0.250 x4

---

(8)
A relaxed Tl3BiBr crystal, computed with GGA-PBE.

Calculated values
* DOS at the Fermi energy: 0.851 states/eV/atom
* calculated volume: 251 Å³/f.u.
* uncorrected formation energy: 0.0383 eV per atom

a b c (Å): 6.307 6.307 6.307
angles (deg): 90.00 90.00 90.00
Space group Pm-3m (No. 221)
Asymmetric unit:
Tl1 0.000 0.000 0.500 x3
Bi1 0.000 0.000 0.000 x1
Br1 0.500 0.500 0.500 x1

---

(9)
A relaxed CaTl2Zn crystal, computed with GGA-PBE.

Calculated values
* DOS at the Fermi energy: 0.403 states/eV/atom
* calculated volume: 109 Å³/f.u.
* energy of formation: -0.49 eV/f.u.

a b c (Å): 3.754 4.770 6.309
angles (deg): 90.00 105.44 90.00
Space group Pm (No. 6)
Asymmetric unit:
Ca1 0.000 0.000 0.000 x1
Tl1 0.287 0.000 0.540 x1
Tl2 0.673 0.500 0.315 x1
Zn1 0.414 0.500 0.802 x1

---

(10)
A relaxed Cs3AcCl7 crystal, computed with GGA-PBE.

Calculated values
* DOS at the Fermi energy: 0.217 states/eV/atom
* calculated volume: 462 Å³/f.u.
* uncorrected formation energy: -1.9371 eV per atom

a b c (Å): 12.305 11.522 8.818
angles (deg): 90.00 132.32 90.00
Space group Cm (No. 8)
Asymmetric unit:
Cs1 0.000 0.000 0.000 x2
Cs2 0.008 0.272 0.558 x4
Ac1 0.060 0.500 0.116 x2
Cl1 0.120 0.256 0.276 x4
Cl2 0.185 0.500 0.930 x2
Cl3 0.363 0.500 0.507 x2
Cl4 0.370 0.185 0.803 x4
Cl5 0.373 0.000 0.206 x2

---

(11)
A relaxed LiSnN crystal, computed with GGA-PBE.

Calculated values
* calculated volume: 47 Å³/f.u.
* uncorrected formation energy: -0.1867 eV per atom

a b c (Å): 3.2761 3.2761 10.0377
angles (deg): 90.00 90.00 120.00
Space group P6_3mc (No. 186)
Asymmetric unit:
Li1 0.3333 0.6667 0.0000 x2
Sn1 0.0000 0.0000 0.2689 x2
N1 0.3333 0.6667 0.3858 x2

---

(12)
A relaxed KH6Au2N2 crystal, computed with GGA-PBE.

Calculated values
* DOS at the Fermi energy: 0.167 states/eV/atom
* calculated volume: 191 Å³/f.u.
* energy: -4.316 eV/atom

a b c (Å): 5.293 6.429 6.828
angles (deg): 116.32 101.92 102.13
Space group P-1 (No. 2)
Asymmetric unit:
K1 0.000 0.000 0.000 x1
H1 0.084 0.746 0.444 x2
H2 0.288 0.708 0.631 x2
H3 0.341 0.986 0.665 x2
Au1 0.259 0.525 0.008 x2
N1 0.191 0.826 0.619 x2